[1]
PaFe4Ge (PBE, optimized geometry); offset from the most stable computed form = 0.308 eV/atom; energy of formation from the pure elements = 241 meV/atom; DOS at the Fermi energy = 6.75 states/eV/f.u.
1.0
-2.311 2.311 9.144
2.311 -2.311 9.144
2.311 2.311 -9.144
Pa Fe Ge
2 8 2
direct
0.375 0.625 0.750
0.625 0.375 0.250
0.238 0.243 0.506
0.238 0.732 0.994
0.243 0.238 0.006
0.268 0.762 0.506
0.732 0.238 0.494
0.757 0.762 0.994
0.762 0.268 0.006
0.762 0.757 0.494
0.125 0.875 0.250
0.875 0.125 0.750



[2]
PaFeGe (PBE, optimized geometry); energy of formation from the pure elements = -421 meV/atom; DOS at the Fermi energy = 3.11 states/eV/f.u.
1.0
4.252 0.000 0.000
-2.126 3.682 0.000
0.000 0.000 3.442
Pa Fe Ge
1 1 1
direct
0.000 0.000 0.000
0.667 0.333 0.500
0.333 0.667 0.500



[3]
PaFeGe (PBE, optimized geometry); energy of formation from the pure elements = -232 meV/atom; DOS at the Fermi energy = 3.61 states/eV/f.u.
1.0
-1.619 2.937 5.645
1.619 -2.937 5.645
1.619 2.937 -5.645
Pa Fe Ge
2 2 2
direct
0.161 0.161 0.000
0.839 0.839 0.000
0.250 0.500 0.750
0.750 0.500 0.250
0.382 0.882 0.500
0.618 0.118 0.500



[4]
PaFeGe (PBE, optimized geometry); energy of formation from the pure elements = 185 meV/atom; DOS at the Fermi energy = 4.11 states/eV/f.u.
1.0
-2.079 2.079 3.656
2.079 -2.079 3.656
2.079 2.079 -3.656
Pa Fe Ge
1 1 1
direct
0.000 0.000 0.000
0.713 0.713 0.000
0.386 0.386 0.000



[5]
PaFeGe (PBE, optimized geometry); energy of formation from the pure elements = -514 meV/atom; DOS at the Fermi energy = 2.31 states/eV/f.u.
1.0
5.745 0.000 0.000
0.000 5.966 0.000
-5.250 0.000 6.295
Pa Fe Ge
4 4 4
direct
0.206 0.112 0.414
0.206 0.388 0.914
0.794 0.612 0.086
0.794 0.888 0.586
0.305 0.620 0.320
0.305 0.880 0.820
0.695 0.120 0.180
0.695 0.380 0.680
0.277 0.613 0.596
0.277 0.887 0.096
0.723 0.113 0.904
0.723 0.387 0.404



[6]
PaFe2Ge (PBE, optimized geometry); offset from the most stable computed form = 0.363 eV/atom; energy of formation from the pure elements = 5 meV/atom; DOS at the Fermi energy = 3.90 states/eV/f.u.
1.0
3.821 0.000 0.000
0.000 3.507 0.000
-0.771 0.000 5.310
Pa Fe Ge
1 2 1
direct
0.000 0.000 0.000
0.432 0.500 0.208
0.568 0.500 0.792
0.500 0.000 0.500



[7]
Pa2FeGe2 (PBE, optimized geometry); energy of formation from the pure elements = -482 meV/atom; DOS at the Fermi energy = 5.89 states/eV/f.u.
1.0
5.426 -1.891 0.000
5.426 1.891 0.000
-5.113 0.000 9.702
Pa Fe Ge
4 2 4
direct
0.079 0.079 0.357
0.214 0.214 0.109
0.786 0.786 0.891
0.921 0.921 0.643
0.270 0.270 0.715
0.730 0.730 0.285
0.375 0.375 0.409
0.489 0.489 0.117
0.511 0.511 0.883
0.625 0.625 0.591



[8]
PaFeGe (PBE, optimized geometry); energy of formation from the pure elements = -357 meV/atom; DOS at the Fermi energy = 4.75 states/eV/f.u.
1.0
0.000 3.060 3.060
3.060 0.000 3.060
3.060 3.060 0.000
Pa Fe Ge
1 1 1
direct
0.000 0.000 0.000
0.250 0.250 0.250
0.500 0.500 0.500



[9]
Pa2Fe3Ge5 (PBE, optimized geometry); energy of formation from the pure elements = -375 meV/atom; DOS at the Fermi energy = 6.36 states/eV/f.u.
1.0
2.062 -11.904 0.000
2.062 11.904 0.000
0.000 0.000 6.673
Pa Fe Ge
4 6 10
direct
0.030 0.970 0.500
0.329 0.671 0.561
0.671 0.329 0.061
0.970 0.030 0.000
0.101 0.899 0.273
0.274 0.726 0.077
0.448 0.552 0.287
0.552 0.448 0.787
0.726 0.274 0.577
0.899 0.101 0.773
0.096 0.904 0.886
0.206 0.794 0.366
0.212 0.788 0.776
0.374 0.626 0.028
0.453 0.547 0.664
0.547 0.453 0.164
0.626 0.374 0.528
0.788 0.212 0.276
0.794 0.206 0.866
0.904 0.096 0.386



[10]
Pa4Fe7Ge6 (PBE, optimized geometry); energy of formation from the pure elements = -460 meV/atom; DOS at the Fermi energy = 14.66 states/eV/f.u.
1.0
-4.073 4.073 4.073
4.073 -4.073 4.073
4.073 4.073 -4.073
Pa Fe Ge
4 7 6
direct
0.000 0.000 0.500
0.000 0.500 0.000
0.500 0.000 0.000
0.500 0.500 0.500
0.000 0.000 0.000
0.250 0.500 0.750
0.250 0.750 0.500
0.500 0.250 0.750
0.500 0.750 0.250
0.750 0.250 0.500
0.750 0.500 0.250
0.000 0.323 0.323
0.000 0.677 0.677
0.323 0.000 0.323
0.323 0.323 0.000
0.677 0.000 0.677
0.677 0.677 0.000



[11]
PaFeGe3 (PBE, optimized geometry); offset from the most stable computed form = 0.048 eV/atom; energy of formation from the pure elements = -315 meV/atom; DOS at the Fermi energy = 3.95 states/eV/f.u.
1.0
4.109 0.000 0.000
0.000 2.130 5.312
0.000 -2.130 5.312
Pa Fe Ge
1 1 3
direct
0.000 0.000 0.000
0.000 0.315 0.315
0.000 0.709 0.709
0.500 0.198 0.198
0.500 0.453 0.453



[12]
Pa2Fe12Ge7 (PBE, optimized geometry); energy of formation from the pure elements = -175 meV/atom; DOS at the Fermi energy = 20.86 states/eV/f.u.
1.0
9.442 0.000 0.000
-4.721 8.177 0.000
0.000 0.000 3.805
Pa Fe Ge
2 12 7
direct
0.000 0.000 0.000
0.333 0.667 0.500
0.031 0.276 0.500
0.109 0.719 0.000
0.246 0.969 0.500
0.281 0.390 0.000
0.377 0.179 0.000
0.555 0.432 0.500
0.568 0.123 0.500
0.610 0.891 0.000
0.724 0.754 0.500
0.802 0.623 0.000
0.821 0.198 0.000
0.877 0.445 0.500
0.067 0.453 0.000
0.259 0.233 0.500
0.386 0.933 0.000
0.547 0.614 0.000
0.667 0.333 0.000
0.767 0.026 0.500
0.974 0.741 0.500



[13]
PaFe2Ge (PBE, optimized geometry); offset from the most stable computed form = 0.194 eV/atom; energy of formation from the pure elements = -164 meV/atom; DOS at the Fermi energy = 3.64 states/eV/f.u.
1.0
4.172 0.000 0.000
0.000 4.172 0.000
0.000 0.000 3.497
Pa Fe Ge
1 2 1
direct
0.000 0.000 0.000
0.000 0.500 0.500
0.500 0.000 0.500
0.500 0.500 0.000



[14]
Pa4FeGe8 (PBE, optimized geometry); energy of formation from the pure elements = -439 meV/atom; DOS at the Fermi energy = 13.06 states/eV/f.u.
1.0
4.056 0.000 0.000
0.000 4.100 0.000
0.000 0.000 15.835
Pa Fe Ge
4 1 8
direct
0.000 0.000 0.000
0.000 0.500 0.493
0.500 0.000 0.783
0.500 0.500 0.284
0.000 0.500 0.704
0.000 0.000 0.330
0.000 0.000 0.629
0.000 0.500 0.143
0.000 0.500 0.849
0.500 0.000 0.142
0.500 0.000 0.444
0.500 0.500 0.629
0.500 0.500 0.951



[15]
Pa4Fe2Ge5 (PBE, optimized geometry); energy of formation from the pure elements = -433 meV/atom; DOS at the Fermi energy = 10.84 states/eV/f.u.
1.0
7.076 0.000 0.000
0.000 3.840 0.000
-0.195 0.000 8.121
Pa Fe Ge
4 2 5
direct
0.217 0.000 0.355
0.229 0.000 0.910
0.771 0.000 0.090
0.783 0.000 0.645
0.102 0.500 0.134
0.898 0.500 0.866
0.120 0.500 0.633
0.447 0.500 0.154
0.500 0.500 0.500
0.553 0.500 0.846
0.880 0.500 0.367



[16]
Pa2Fe3Ge (PBE, optimized geometry); energy of formation from the pure elements = -351 meV/atom; DOS at the Fermi energy = 6.84 states/eV/f.u.
1.0
5.197 0.000 0.000
-2.598 4.501 0.000
0.000 0.000 8.081
Pa Fe Ge
4 6 2
direct
0.333 0.667 0.075
0.333 0.667 0.425
0.667 0.333 0.575
0.667 0.333 0.925
0.172 0.344 0.750
0.172 0.828 0.750
0.344 0.172 0.250
0.656 0.828 0.750
0.828 0.172 0.250
0.828 0.656 0.250
0.000 0.000 0.000
0.000 0.000 0.500



[17]
Pa2Fe3Ge (PBE, optimized geometry); energy of formation from the pure elements = -166 meV/atom; DOS at the Fermi energy = 8.71 states/eV/f.u.
1.0
0.000 4.544 6.408
3.546 0.000 6.408
3.546 4.544 0.000
Pa Fe Ge
4 6 2
direct
0.229 0.771 0.771
0.250 0.250 0.250
0.750 0.750 0.750
0.771 0.229 0.229
0.138 0.138 0.862
0.173 0.640 0.360
0.360 0.827 0.173
0.640 0.173 0.827
0.827 0.360 0.640
0.862 0.862 0.138
0.323 0.323 0.677
0.677 0.677 0.323



[18]
PaFe2Ge (PBE, optimized geometry); offset from the most stable computed form = 0.035 eV/atom; energy of formation from the pure elements = -323 meV/atom; DOS at the Fermi energy = 4.93 states/eV/f.u.
1.0
2.156 1.245 4.083
-2.156 1.245 4.083
0.000 -2.490 4.083
Pa Fe Ge
1 2 1
direct
0.000 0.000 0.000
0.188 0.188 0.188
0.812 0.812 0.812
0.500 0.500 0.500



[19]
Pa4Fe2Ge (PBE, optimized geometry); energy of formation from the pure elements = -159 meV/atom; DOS at the Fermi energy = 9.26 states/eV/f.u.
1.0
5.484 -3.889 0.000
5.484 3.889 0.000
-4.977 0.000 6.828
Pa Fe Ge
8 4 2
direct
0.020 0.020 0.182
0.284 0.471 0.578
0.459 0.131 0.869
0.529 0.716 0.422
0.581 0.048 0.296
0.869 0.541 0.131
0.952 0.419 0.704
0.980 0.980 0.818
0.276 0.313 0.179
0.657 0.246 0.708
0.687 0.724 0.821
0.754 0.343 0.292
0.092 0.908 0.500
0.351 0.649 0.000



[20]
PaFe4Ge (PBE, optimized geometry); offset from the most stable computed form = 0.000 eV/atom; energy of formation from the pure elements = -67 meV/atom; DOS at the Fermi energy = 7.36 states/eV/f.u.
1.0
0.000 3.502 3.502
3.502 0.000 3.502
3.502 3.502 0.000
Pa Fe Ge
1 4 1
direct
0.000 0.000 0.000
0.128 0.624 0.624
0.624 0.128 0.624
0.624 0.624 0.128
0.624 0.624 0.624
0.250 0.250 0.250



[21]
PaFe3Ge2 (PBE, optimized geometry); offset from the most stable computed form = 0.043 eV/atom; energy of formation from the pure elements = -262 meV/atom; DOS at the Fermi energy = 5.80 states/eV/f.u.
1.0
7.269 -2.016 0.000
7.269 2.016 0.000
-3.299 0.000 6.335
Pa Fe Ge
2 6 4
direct
0.147 0.147 0.064
0.853 0.853 0.936
0.036 0.036 0.375
0.299 0.299 0.520
0.412 0.412 0.352
0.588 0.588 0.648
0.701 0.701 0.480
0.964 0.964 0.625
0.193 0.193 0.702
0.474 0.474 0.806
0.526 0.526 0.194
0.807 0.807 0.298



[22]
PaFe3Ge2 (PBE, optimized geometry); offset from the most stable computed form = 0.000 eV/atom; energy of formation from the pure elements = -305 meV/atom; DOS at the Fermi energy = 5.26 states/eV/f.u.
1.0
7.962 -1.963 0.000
7.962 1.963 0.000
-2.757 0.000 8.789
Pa Fe Ge
3 9 6
direct
0.000 0.000 0.000
0.163 0.163 0.731
0.837 0.837 0.269
0.044 0.044 0.370
0.203 0.203 0.382
0.325 0.325 0.037
0.377 0.377 0.793
0.500 0.500 0.500
0.623 0.623 0.207
0.675 0.675 0.963
0.797 0.797 0.618
0.956 0.956 0.630
0.195 0.195 0.116
0.354 0.354 0.522
0.468 0.468 0.221
0.532 0.532 0.779
0.646 0.646 0.478
0.805 0.805 0.884